# CdInCo2

Crystalline CdInCo2 at its relaxed geometry (GGA-PBEsol, Alexandria).

DFT formation energy = 396 meV/atom
SG = No. 216
Crystal system = cubic

The structure in POSCAR format:
```
CdInCo2
1.0
6.214 0.000 0.000
0.000 6.214 0.000
0.000 0.000 6.214
Cd In Co
4 4 8
Direct
0.000 0.000 0.000
0.000 0.500 0.500
0.500 0.000 0.500
0.500 0.500 0.000
0.250 0.250 0.250
0.250 0.750 0.750
0.750 0.250 0.750
0.750 0.750 0.250
0.000 0.000 0.500
0.000 0.500 0.000
0.250 0.250 0.750
0.250 0.750 0.250
0.500 0.000 0.000
0.500 0.500 0.500
0.750 0.250 0.250
0.750 0.750 0.750
```